Gd2AlPt | PBE | optimized geometry

Output
E_tot = -40.75 eV/cell
Spin magnetization = 14.12 μB per formula unit
Formation enthalpy at 0 K = -0.7006 eV/atom
Density of states at the Fermi level = 2.808 states/eV/cell

abc: 5.0784 5.0784 5.0784
angles: 60.00 60.00 60.00
Each line ends with the local moment (μB).
Atoms (fractional coordinates):
Gd 0.2500 0.2500 0.2500  -6.97
Gd 0.7500 0.7500 0.7500  -6.97
Al 0.5000 0.5000 0.5000  0.01
Pt 0.0000 0.0000 0.0000  0.02